# 1
# Y2BSe, optimized geometry, DFT GGA-PBE
data_Y2BSe
_cell_length_a 6.870
_cell_length_b 6.870
_cell_length_c 6.870
_cell_angle_alpha 90.00
_cell_angle_beta 90.00
_cell_angle_gamma 90.00
_symmetry_space_group_name_H-M 'F m -3 m'
_symmetry_Int_Tables_number 225
_symmetry_space_group_name_Hall '-F 4 2 3'
loop_
_atom_site_label
_atom_site_fract_x
_atom_site_fract_y
_atom_site_fract_z
Y1 0.250 0.250 0.250
B1 0.000 0.000 0.000
Se1 0.000 0.000 0.500
# electronic total energy = -0.4508 Ry/atom
# offset from the most stable computed form = 588 meV per atom
# formation energy from raw total energies = -361 meV per atom


# 2
# Y5BSe4, optimized geometry, DFT GGA-PBE
data_Y5BSe4
_cell_length_a 9.070
_cell_length_b 9.070
_cell_length_c 5.701
_cell_angle_alpha 90.00
_cell_angle_beta 90.00
_cell_angle_gamma 90.00
_symmetry_space_group_name_H-M 'I 4/m'
_symmetry_Int_Tables_number 87
_symmetry_space_group_name_Hall '-I 4'
loop_
_atom_site_label
_atom_site_fract_x
_atom_site_fract_y
_atom_site_fract_z
Y1 0.000 0.000 0.000
Y2 0.092 0.731 0.500
B1 0.000 0.000 0.500
Se1 0.093 0.695 0.000
# electronic total energy = -0.5030 Ry/atom
# formation energy from raw total energies = -1550 meV per atom


# 3
# YBSe3, optimized geometry, DFT GGA-PBE
data_YBSe3
_cell_length_a 6.633
_cell_length_b 7.491
_cell_length_c 11.028
_cell_angle_alpha 90.00
_cell_angle_beta 124.08
_cell_angle_gamma 90.00
_symmetry_space_group_name_H-M 'P 1 21/c 1'
_symmetry_Int_Tables_number 14
loop_
_symmetry_equiv_pos_as_xyz
'x,y,z'
'-x,-y,-z'
'-x,y+1/2,-z+1/2'
'x,-y+1/2,z+1/2'
loop_
_atom_site_label
_atom_site_fract_x
_atom_site_fract_y
_atom_site_fract_z
Y1 0.206 0.129 0.247
B1 0.198 0.650 0.094
Se1 0.067 0.195 0.933
Se2 0.274 0.688 0.947
Se3 0.394 0.009 0.761
# electronic total energy = -0.4156 Ry/atom
# offset from the most stable computed form = 0 meV per atom
# formation energy from raw total energies = -935 meV per atom


# 4
# YBSe, optimized geometry, DFT GGA-PBE
data_YBSe
_cell_length_a 5.323
_cell_length_b 5.572
_cell_length_c 8.709
_cell_angle_alpha 90.00
_cell_angle_beta 101.78
_cell_angle_gamma 90.00
_symmetry_space_group_name_H-M 'C 1 2/m 1'
_symmetry_Int_Tables_number 12
loop_
_symmetry_equiv_pos_as_xyz
'x,y,z'
'-x,-y,-z'
'-x,y,-z'
'x,-y,z'
'x+1/2,y+1/2,z'
'-x+1/2,-y+1/2,-z'
'-x+1/2,y+1/2,-z'
'x+1/2,-y+1/2,z'
loop_
_atom_site_label
_atom_site_fract_x
_atom_site_fract_y
_atom_site_fract_z
Y1 0.168 0.000 0.176
B1 0.142 0.500 0.061
Se1 0.205 0.500 0.308
# electronic total energy = -0.4637 Ry/atom
# formation energy from raw total energies = -768 meV per atom


# 5
# YBSe3, optimized geometry, DFT GGA-PBE
data_YBSe3
_cell_length_a 5.478
_cell_length_b 5.478
_cell_length_c 5.478
_cell_angle_alpha 90.00
_cell_angle_beta 90.00
_cell_angle_gamma 90.00
_symmetry_space_group_name_H-M 'P m -3 m'
_symmetry_Int_Tables_number 221
_symmetry_space_group_name_Hall '-P 4 2 3'
loop_
_atom_site_label
_atom_site_fract_x
_atom_site_fract_y
_atom_site_fract_z
Y1 0.000 0.000 0.000
B1 0.500 0.500 0.500
Se1 0.000 0.000 0.500
# electronic total energy = -0.3049 Ry/atom
# offset from the most stable computed form = 1505 meV per atom
# formation energy from raw total energies = 570 meV per atom


# 6
# Y3BSe2, optimized geometry, DFT GGA-PBE
data_Y3BSe2
_cell_length_a 8.095
_cell_length_b 11.347
_cell_length_c 23.817
_cell_angle_alpha 90.00
_cell_angle_beta 90.00
_cell_angle_gamma 90.00
_symmetry_space_group_name_H-M 'F d d d'
_symmetry_Int_Tables_number 70
loop_
_symmetry_equiv_pos_as_xyz
'x,y,z'
'-x,-y,-z'
'-x+1/4,-y+1/4,z'
'x+1/4,y+1/4,-z'
'x,-y+1/4,-z+1/4'
'-x,y+1/4,z+1/4'
'-x+1/4,y,-z+1/4'
'x+1/4,-y,z+1/4'
'x,y+1/2,z+1/2'
'-x,-y+1/2,-z+1/2'
'-x+1/4,-y+3/4,z+1/2'
'x+1/4,y+3/4,-z+1/2'
'x,-y+3/4,-z+3/4'
'-x,y+3/4,z+3/4'
'-x+1/4,y+1/2,-z+3/4'
'x+1/4,-y+1/2,z+3/4'
'x+1/2,y,z+1/2'
'-x+1/2,-y,-z+1/2'
'-x+3/4,-y+1/4,z+1/2'
'x+3/4,y+1/4,-z+1/2'
'x+1/2,-y+1/4,-z+3/4'
'-x+1/2,y+1/4,z+3/4'
'-x+3/4,y,-z+3/4'
'x+3/4,-y,z+3/4'
'x+1/2,y+1/2,z'
'-x+1/2,-y+1/2,-z'
'-x+3/4,-y+3/4,z'
'x+3/4,y+3/4,-z'
'x+1/2,-y+3/4,-z+1/4'
'-x+1/2,y+3/4,z+1/4'
'-x+3/4,y+1/2,-z+1/4'
'x+3/4,-y+1/2,z+1/4'
loop_
_atom_site_label
_atom_site_fract_x
_atom_site_fract_y
_atom_site_fract_z
Y1 0.091 0.375 0.375
Y2 0.110 0.359 0.215
B1 0.125 0.125 0.041
Se1 0.125 0.125 0.379
Se2 0.125 0.125 0.545
# electronic total energy = -0.5033 Ry/atom
# formation energy from raw total energies = -1342 meV per atom


# 7
# YB3Se, optimized geometry, DFT GGA-PBE
data_YB3Se
_cell_length_a 4.179
_cell_length_b 4.179
_cell_length_c 4.179
_cell_angle_alpha 90.00
_cell_angle_beta 90.00
_cell_angle_gamma 90.00
_symmetry_space_group_name_H-M 'P m -3 m'
_symmetry_Int_Tables_number 221
_symmetry_space_group_name_Hall '-P 4 2 3'
loop_
_atom_site_label
_atom_site_fract_x
_atom_site_fract_y
_atom_site_fract_z
Y1 0.000 0.000 0.000
B1 0.000 0.500 0.500
Se1 0.500 0.500 0.500
# electronic total energy = -0.3463 Ry/atom
# offset from the most stable computed form = 0 meV per atom
# formation energy from raw total energies = 1284 meV per atom


# 8
# Y2BSe, optimized geometry, DFT GGA-PBE
data_Y2BSe
_cell_length_a 3.8277
_cell_length_b 3.8277
_cell_length_c 20.5442
_cell_angle_alpha 90.00
_cell_angle_beta 90.00
_cell_angle_gamma 120.00
_symmetry_space_group_name_H-M 'R -3 m'
_symmetry_Int_Tables_number 166
_symmetry_space_group_name_Hall '-R 3 2"'
loop_
_atom_site_label
_atom_site_fract_x
_atom_site_fract_y
_atom_site_fract_z
Y1 0.0000 0.0000 0.2405
B1 0.0000 0.0000 0.5000
Se1 0.0000 0.0000 0.0000
# electronic total energy = -0.4941 Ry/atom
# offset from the most stable computed form = 0 meV per atom
# formation energy from raw total energies = -950 meV per atom